# Zn2CdSi | Alexandria | PBE | optimized geometry
data_Zn2CdSi
_cell_length_a 2.839
_cell_length_b 3.805
_cell_length_c 6.428
_cell_angle_alpha 90.00
_cell_angle_beta 90.73
_cell_angle_gamma 90.00
_space_group_name_H-M_alt 'P 1 2/m 1'
_space_group_IT_number 10
loop_
_space_group_symop_operation_xyz
'x,y,z'
'-x,-y,-z'
'-x,y,-z'
'x,-y,z'
loop_
_atom_site_label
_atom_site_type_symbol
_atom_site_fract_x
_atom_site_fract_y
_atom_site_fract_z
Zn1 Zn 0.002 0.000 0.285
Cd1 Cd 0.500 0.500 0.000
Si1 Si 0.500 0.500 0.500
# Size of the total moment: 0.00 μB/f.u.
# Volume: 17.4 Å³/atom
# Formation energy (no corrections): 0.224 eV/atom
# Energy above the lowest structure with this stoichiometry: 0.04 eV/f.u.

---

# ZnCdSi2 | Alexandria | PBE | optimized geometry
data_ZnCdSi2
_cell_length_a 2.9009
_cell_length_b 2.9009
_cell_length_c 29.5137
_cell_angle_alpha 90.00
_cell_angle_beta 90.00
_cell_angle_gamma 120.00
_space_group_name_H-M_alt 'R 3 m'
_space_group_IT_number 160
_space_group_name_Hall 'R 3 -2"'
loop_
_atom_site_label
_atom_site_type_symbol
_atom_site_fract_x
_atom_site_fract_y
_atom_site_fract_z
Zn1 Zn 0.0000 0.0000 0.0000
Cd1 Cd 0.0000 0.0000 0.7589
Si1 Si 0.0000 0.0000 0.2605
Si2 Si 0.0000 0.0000 0.5295
# Size of the total moment: 0.00 μB/f.u.
# Volume: 17.9 Å³/atom
# Formation energy (no corrections): 0.338 eV/atom
# Energy above the lowest structure with this stoichiometry: 0.27 eV/f.u.

---

# Zn2CdSi | Alexandria | PBE | optimized geometry
data_Zn2CdSi
_cell_length_a 10.153
_cell_length_b 2.674
_cell_length_c 5.365
_cell_angle_alpha 90.00
_cell_angle_beta 104.84
_cell_angle_gamma 90.00
_space_group_name_H-M_alt 'C 1 m 1'
_space_group_IT_number 8
loop_
_space_group_symop_operation_xyz
'x,y,z'
'x,-y,z'
'x+1/2,y+1/2,z'
'x+1/2,-y+1/2,z'
loop_
_atom_site_label
_atom_site_type_symbol
_atom_site_fract_x
_atom_site_fract_y
_atom_site_fract_z
Zn1 Zn 0.000 0.000 0.000
Zn2 Zn 0.232 0.500 0.236
Cd1 Cd 0.246 0.000 0.745
Si1 Si 0.476 0.000 0.457
# Size of the total moment: 0.00 μB/f.u.
# Volume: 17.6 Å³/atom
# Formation energy (no corrections): 0.232 eV/atom
# Energy above the lowest structure with this stoichiometry: 0.08 eV/f.u.

---

# ZnCdSi2 | Alexandria | PBE | optimized geometry
data_ZnCdSi2
_cell_length_a 2.660
_cell_length_b 5.112
_cell_length_c 10.408
_cell_angle_alpha 90.00
_cell_angle_beta 90.00
_cell_angle_gamma 90.00
_space_group_name_H-M_alt 'I m m m'
_space_group_IT_number 71
_space_group_name_Hall '-I 2 2'
loop_
_atom_site_label
_atom_site_type_symbol
_atom_site_fract_x
_atom_site_fract_y
_atom_site_fract_z
Zn1 Zn 0.000 0.000 0.000
Cd1 Cd 0.000 0.000 0.500
Si1 Si 0.000 0.500 0.271
# Size of the total moment: 0.00 μB/f.u.
# Volume: 17.7 Å³/atom
# Formation energy (no corrections): 0.398 eV/atom
# Energy above the lowest structure with this stoichiometry: 0.51 eV/f.u.

---

# ZnCdSi2 | Alexandria | PBE | optimized geometry
data_ZnCdSi2
_cell_length_a 3.850
_cell_length_b 3.850
_cell_length_c 9.583
_cell_angle_alpha 90.00
_cell_angle_beta 90.00
_cell_angle_gamma 90.00
_space_group_name_H-M_alt 'I 4/m m m'
_space_group_IT_number 139
_space_group_name_Hall '-I 4 2'
loop_
_atom_site_label
_atom_site_type_symbol
_atom_site_fract_x
_atom_site_fract_y
_atom_site_fract_z
Zn1 Zn 0.000 0.000 0.000
Cd1 Cd 0.000 0.000 0.500
Si1 Si 0.000 0.500 0.250
# Size of the total moment: 0.00 μB/f.u.
# Volume: 17.8 Å³/atom
# Formation energy (no corrections): 0.439 eV/atom
# Energy above the lowest structure with this stoichiometry: 0.67 eV/f.u.

---

# Zn2CdSi | Alexandria | PBE | optimized geometry
data_Zn2CdSi
_cell_length_a 6.609
_cell_length_b 6.609
_cell_length_c 6.609
_cell_angle_alpha 90.00
_cell_angle_beta 90.00
_cell_angle_gamma 90.00
_space_group_name_H-M_alt 'F -4 3 m'
_space_group_IT_number 216
_space_group_name_Hall 'F -4 2 3'
loop_
_atom_site_label
_atom_site_type_symbol
_atom_site_fract_x
_atom_site_fract_y
_atom_site_fract_z
Zn1 Zn 0.000 0.000 0.000
Zn2 Zn 0.250 0.250 0.250
Cd1 Cd 0.000 0.000 0.500
Si1 Si 0.250 0.250 0.750
# Size of the total moment: 0.00 μB/f.u.
# Volume: 18.0 Å³/atom
# Formation energy (no corrections): 0.340 eV/atom
# Energy above the lowest structure with this stoichiometry: 0.51 eV/f.u.

---

# Zn2CdSi | Alexandria | PBE | optimized geometry
data_Zn2CdSi
_cell_length_a 2.970
_cell_length_b 2.970
_cell_length_c 7.861
_cell_angle_alpha 90.00
_cell_angle_beta 90.00
_cell_angle_gamma 90.00
_space_group_name_H-M_alt 'P 4 m m'
_space_group_IT_number 99
loop_
_space_group_symop_operation_xyz
'x,y,z'
'-y,x,z'
'-x,-y,z'
'y,-x,z'
'-x,y,z'
'y,x,z'
'x,-y,z'
'-y,-x,z'
loop_
_atom_site_label
_atom_site_type_symbol
_atom_site_fract_x
_atom_site_fract_y
_atom_site_fract_z
Zn1 Zn 0.000 0.000 0.000
Zn2 Zn 0.500 0.500 0.225
Cd1 Cd 0.000 0.000 0.495
Si1 Si 0.500 0.500 0.776
# Size of the total moment: 0.00 μB/f.u.
# Volume: 17.3 Å³/atom
# Formation energy (no corrections): 0.261 eV/atom
# Energy above the lowest structure with this stoichiometry: 0.19 eV/f.u.

---

# ZnCdSi2 | Alexandria | PBE | optimized geometry
data_ZnCdSi2
_cell_length_a 2.7624
_cell_length_b 2.7624
_cell_length_c 32.6952
_cell_angle_alpha 90.00
_cell_angle_beta 90.00
_cell_angle_gamma 120.00
_space_group_name_H-M_alt 'R -3 m'
_space_group_IT_number 166
_space_group_name_Hall '-R 3 2"'
loop_
_atom_site_label
_atom_site_type_symbol
_atom_site_fract_x
_atom_site_fract_y
_atom_site_fract_z
Zn1 Zn 0.0000 0.0000 0.0000
Cd1 Cd 0.0000 0.0000 0.5000
Si1 Si 0.0000 0.0000 0.2613
# Size of the total moment: 0.00 μB/f.u.
# Volume: 18.0 Å³/atom
# Formation energy (no corrections): 0.335 eV/atom
# Energy above the lowest structure with this stoichiometry: 0.26 eV/f.u.

---

Repeat the seventh record exactly.
# Zn2CdSi | Alexandria | PBE | optimized geometry
data_Zn2CdSi
_cell_length_a 2.970
_cell_length_b 2.970
_cell_length_c 7.861
_cell_angle_alpha 90.00
_cell_angle_beta 90.00
_cell_angle_gamma 90.00
_space_group_name_H-M_alt 'P 4 m m'
_space_group_IT_number 99
loop_
_space_group_symop_operation_xyz
'x,y,z'
'-y,x,z'
'-x,-y,z'
'y,-x,z'
'-x,y,z'
'y,x,z'
'x,-y,z'
'-y,-x,z'
loop_
_atom_site_label
_atom_site_type_symbol
_atom_site_fract_x
_atom_site_fract_y
_atom_site_fract_z
Zn1 Zn 0.000 0.000 0.000
Zn2 Zn 0.500 0.500 0.225
Cd1 Cd 0.000 0.000 0.495
Si1 Si 0.500 0.500 0.776
# Size of the total moment: 0.00 μB/f.u.
# Volume: 17.3 Å³/atom
# Formation energy (no corrections): 0.261 eV/atom
# Energy above the lowest structure with this stoichiometry: 0.19 eV/f.u.

---

Repeat the third record exactly.
# Zn2CdSi | Alexandria | PBE | optimized geometry
data_Zn2CdSi
_cell_length_a 10.153
_cell_length_b 2.674
_cell_length_c 5.365
_cell_angle_alpha 90.00
_cell_angle_beta 104.84
_cell_angle_gamma 90.00
_space_group_name_H-M_alt 'C 1 m 1'
_space_group_IT_number 8
loop_
_space_group_symop_operation_xyz
'x,y,z'
'x,-y,z'
'x+1/2,y+1/2,z'
'x+1/2,-y+1/2,z'
loop_
_atom_site_label
_atom_site_type_symbol
_atom_site_fract_x
_atom_site_fract_y
_atom_site_fract_z
Zn1 Zn 0.000 0.000 0.000
Zn2 Zn 0.232 0.500 0.236
Cd1 Cd 0.246 0.000 0.745
Si1 Si 0.476 0.000 0.457
# Size of the total moment: 0.00 μB/f.u.
# Volume: 17.6 Å³/atom
# Formation energy (no corrections): 0.232 eV/atom
# Energy above the lowest structure with this stoichiometry: 0.08 eV/f.u.

---

- Among the records above, which one has the highest formation energy (no corrections)?
  number 5